Density functional theory data (PBE) for an optimized crystal structure of KSrNb2.

Geometry as extended XYZ:
```
4
Lattice="0.0000 3.9100 3.9100 3.9100 0.0000 3.9100 3.9100 3.9100 0.0000" Properties=species:S:1:pos:R:3 pbc="T T T"
K 0.0000 0.0000 0.0000
Nb 1.9550 1.9550 1.9550
Nb 5.8650 5.8650 5.8650
Sr 3.9100 3.9100 3.9100
```

Properties
Formation enthalpy at 0 K: 1.876 eV per atom
Energy above the lowest structure with this stoichiometry: 0.165 eV per atom
SG: Fm-3m (225)
V: 119.6 Å³/cell
Magnetic moment: 4.41 μB/cell



Density functional theory data (PBE) for an optimized crystal structure of GaCo3As.

Geometry as extended XYZ:
```
5
Lattice="-4.2607 -0.0194 0.5394 0.0815 -4.2659 0.4908 0.5336 0.4972 4.2324" Properties=species:S:1:pos:R:3 pbc="T T T"
Ga -1.8228 -1.8940 2.6313
Co 0.0408 -2.1329 0.2454
Co 0.2668 0.2486 2.1162
Co -2.1304 -0.0097 0.2697
As 0.0000 0.0000 0.0000
```

Properties
Formation enthalpy at 0 K: 0.594 eV per atom
Energy above the lowest structure with this stoichiometry: 0.000 eV per atom
SG: Pm-3m (221)
V: 79.2 Å³/cell
Magnetic moment: 2.89 μB/cell



Density functional theory data (PBE) for an optimized crystal structure of SnAsOsAuCl.

Geometry as extended XYZ:
```
10
Lattice="-2.8536 -3.4170 3.9246 1.3189 -2.6474 -1.3460 11.6311 3.9327 3.6617" Properties=species:S:1:pos:R:3 pbc="T T T"
Sn 0.7403 -1.4611 -0.3235
Sn 5.8965 1.8289 2.1804
As 5.1010 0.0712 4.8581
As -0.0551 -3.2188 2.3542
Os 0.5946 -0.9098 2.3721
Os 7.0696 -0.2672 3.5299
Au 2.2251 -2.8005 3.7657
Au 7.3812 0.4895 6.2696
Cl 9.1404 0.8675 3.3272
Cl 2.6654 0.2249 2.1694
```

Properties
Formation energy from raw total energies: 0.066 eV per atom
Energy above the lowest structure with this stoichiometry: 0.031 eV per atom
SG: Cm (8)
V: 223.8 Å³/cell
Magnetic moment: 0.00 μB/cell



Density functional theory data (PBE) for an optimized crystal structure of K4OF.

Geometry as extended XYZ:
```
6
Lattice="4.8029 0.0001 0.0006 -0.0001 4.8034 0.0002 0.0063 0.0086 6.8602" Properties=species:S:1:pos:R:3 pbc="T T T"
K 2.4135 4.7983 5.0392
K 0.0116 2.3976 5.0393
K 0.0073 2.3881 1.7963
K 2.4081 4.7904 1.7963
F 2.4135 2.3982 6.8473
O 0.0094 4.7944 3.4175
```

Properties
Formation energy from raw total energies: -1.200 eV per atom
SG: C2/m (12)
V: 158.3 Å³/cell
Magnetic moment: 0.15 μB/cell



Density functional theory data (PBE) for an optimized crystal structure of YTlFe.

Geometry as extended XYZ:
```
3
Lattice="3.6227 0.0000 0.0000 -1.8113 3.1373 0.0000 0.0000 0.0000 6.2701" Properties=species:S:1:pos:R:3 pbc="T T T"
Tl 1.8113 1.0458 1.8172
Y 0.0000 2.0916 4.3922
Fe 0.0000 0.0000 0.0608
```

Properties
Formation enthalpy at 0 K: 0.314 eV per atom
SG: P3m1 (156)
V: 71.3 Å³/cell
Magnetic moment: 1.81 μB/cell



Density functional theory data (PBE) for an optimized crystal structure of K2CdTe.

Geometry as extended XYZ:
```
4
Lattice="-2.2173 -3.5284 2.6098 4.4882 -1.4836 1.8074 1.5972 3.3726 5.9166" Properties=species:S:1:pos:R:3 pbc="T T T"
K 0.6366 -1.0077 3.8105
K 5.8579 1.6180 7.1646
Cd 2.5965 0.0422 6.8952
Te 3.9051 0.5414 4.0498
```

Properties
Formation energy from raw total energies: -0.609 eV per atom
Energy above the lowest structure with this stoichiometry: 0.021 eV per atom
SG: Pm (6)
V: 162.2 Å³/cell
Magnetic moment: 0.00 μB/cell



| no. | uncorrected energy (eV/atom) |
| --- | --- |
| 1 | -3.85 |
| 2 | -5.20 |
| 3 | -4.94 |
| 4 | -3.07 |
| 5 | -5.45 |
| 6 | -2.17 |